Below is crystalline Pr2Bi2Pt15 at its relaxed geometry, with properties calculated at the PBE-GGA level.

Values from the calculation:
Its total magnetization is 0.0 μB/f.u. For the formation energy, the calculation gives -0.447 eV per atom. The calculation puts the density of states at the Fermi level at 43.940 states/eV per cell. The calculated total energy comes out at -6.13 eV/atom.

Geometry as CIF:
```
data_Pr2Bi2Pt15
_chemical_formula_sum 'Pr6 Bi6 Pt45'
_cell_length_a 9.5308
_cell_length_b 9.5308
_cell_length_c 13.6159
_cell_angle_alpha 90.00
_cell_angle_beta 90.00
_cell_angle_gamma 120.00
_symmetry_space_group_name_H-M 'R -3 m'
_symmetry_Int_Tables_number 166
_symmetry_space_group_name_Hall '-R 3 2"'
loop_
_atom_site_label
_atom_site_fract_x
_atom_site_fract_y
_atom_site_fract_z
_atom_site_occupancy
Pr1 0.0000 0.0000 0.1430 1
Bi1 0.0000 0.0000 0.3929 1
Pt1 0.9996 0.3329 0.1667 1
Pt2 0.0000 0.5000 0.0000 1
Pt3 0.0098 0.5049 0.6663 1
```

---

Below is crystalline Pr2BiPt at its relaxed geometry, with properties calculated at the PBE-GGA level.

Values from the calculation:
Its total magnetization is 0.0 μB/f.u. The energy relative to the lowest polymorph listed for this composition comes out at 0 meV/atom. For the formation energy, the calculation gives -0.882 eV per atom. The calculation puts the density of states at the Fermi level at 9.085 states/eV per cell. The calculated total energy comes out at -5.75 eV/atom.

Geometry as CIF:
```
data_Pr2BiPt
_chemical_formula_sum 'Pr6 Bi3 Pt3'
_cell_length_a 4.4453
_cell_length_b 4.4453
_cell_length_c 21.8432
_cell_angle_alpha 90.00
_cell_angle_beta 90.00
_cell_angle_gamma 120.00
_symmetry_space_group_name_H-M 'R -3 m'
_symmetry_Int_Tables_number 166
_symmetry_space_group_name_Hall '-R 3 2"'
loop_
_atom_site_label
_atom_site_fract_x
_atom_site_fract_y
_atom_site_fract_z
_atom_site_occupancy
Pr1 0.0000 0.0000 0.2396 1
Bi1 0.0000 0.0000 0.0000 1
Pt1 0.0000 0.0000 0.5000 1
```

---

Below is crystalline Pr2BiPt2 at its relaxed geometry, with properties calculated at the PBE-GGA level.

Values from the calculation:
Its total magnetization is 0.0 μB/f.u. For the formation energy, the calculation gives -1.008 eV per atom. The calculation puts the density of states at the Fermi level at 6.654 states/eV per cell. The calculated total energy comes out at -6.11 eV/atom.

Geometry as CIF:
```
data_Pr2BiPt2
_chemical_formula_sum 'Pr4 Bi2 Pt4'
_cell_length_a 8.026
_cell_length_b 8.026
_cell_length_c 3.935
_cell_angle_alpha 90.00
_cell_angle_beta 90.00
_cell_angle_gamma 90.00
_symmetry_space_group_name_H-M 'P 4/m b m'
_symmetry_Int_Tables_number 127
_symmetry_space_group_name_Hall '-P 4 2ab'
loop_
_atom_site_label
_atom_site_fract_x
_atom_site_fract_y
_atom_site_fract_z
_atom_site_occupancy
Pr1 0.174 0.326 0.000 1
Bi1 0.000 0.000 0.500 1
Pt1 0.123 0.623 0.500 1
```

---

Below is crystalline Pr4BiPt2 at its relaxed geometry, with properties calculated at the PBE-GGA level.

Values from the calculation:
Its total magnetization is 0.0 μB/f.u. For the formation energy, the calculation gives -0.835 eV per atom. The calculation puts the density of states at the Fermi level at 53.078 states/eV per cell. The calculated total energy comes out at -5.85 eV/atom.

Geometry as CIF:
```
data_Pr4BiPt2
_chemical_formula_sum 'Pr32 Bi8 Pt16'
_cell_length_a 13.168
_cell_length_b 13.796
_cell_length_c 9.127
_cell_angle_alpha 90.00
_cell_angle_beta 90.00
_cell_angle_gamma 90.00
_symmetry_space_group_name_H-M 'F d d 2'
_symmetry_Int_Tables_number 43
_symmetry_space_group_name_Hall 'F 2 -2d'
loop_
_atom_site_label
_atom_site_fract_x
_atom_site_fract_y
_atom_site_fract_z
_atom_site_occupancy
Pr1 0.067 0.391 0.000 1
Pr2 0.118 0.295 0.403 1
Bi1 0.000 0.000 0.830 1
Pt1 0.065 0.327 0.705 1
```